1.
# NaPb2SeBr | Alexandria via LeMat-Bulk | PBE | relaxed
# - E_form (uncorrected) (eV per atom) = 0.0379
# - total magnetization (μB/f.u.) = 0.00
# - density (kg/m3) = 5577
data_NaPb2SeBr
_space_group_name_H-M_alt 'P 4/m m m'
_space_group_IT_number 123
_space_group_name_Hall '-P 4 2'
_cell_length_a 5.877
_cell_length_b 5.877
_cell_length_c 5.141
_cell_angle_alpha 90.00
_cell_angle_beta 90.00
_cell_angle_gamma 90.00
loop_
_atom_site_label
_atom_site_type_symbol
_atom_site_fract_x
_atom_site_fract_y
_atom_site_fract_z
_atom_site_occupancy
Na1 Na 0.000 0.000 0.000 1
Pb1 Pb 0.000 0.500 0.500 1
Se1 Se 0.500 0.500 0.000 1
Br1 Br 0.000 0.000 0.500 1



2.
# SrHAu2 | Alexandria via LeMat-Bulk | PBE | relaxed
# - E above lowest polymorph (meV/atom) = 339
# - total magnetization (μB/f.u.) = 0.00
# - density (kg/m3) = 9008
data_SrHAu2
_space_group_name_H-M_alt 'F m -3 m'
_space_group_IT_number 225
_space_group_name_Hall '-F 4 2 3'
_cell_length_a 7.086
_cell_length_b 7.086
_cell_length_c 7.086
_cell_angle_alpha 90.00
_cell_angle_beta 90.00
_cell_angle_gamma 90.00
loop_
_atom_site_label
_atom_site_type_symbol
_atom_site_fract_x
_atom_site_fract_y
_atom_site_fract_z
_atom_site_occupancy
Sr1 Sr 0.000 0.000 0.000 1
H1 H 0.000 0.000 0.500 1
Au1 Au 0.250 0.250 0.250 1